{
  "formula": "Cs2YO",
  "functional": "GGA-PBE",
  "state": "optimized geometry",
  "m_tot_mub_per_cell": 0.7,
  "n_ef_per_ev_cell": 6.36,
  "crystal_system": "tetragonal",
  "polymorph_energy_mev_per_atom": 0,
  "lattice": [[5.824, 6.693, 5.766], [-7.864, -6.796, -1.980], [7.049, -7.808, 1.142]],
  "species": ["O", "Cs", "Cs", "O", "Y", "Cs", "Cs", "Y"],
  "frac_coords": [[0.750, 0.250, 0.500], [0.125, 0.298, 0.673], [0.702, 0.375, 0.827], [0.500, 0.500, 0.000], [0.000, 0.000, 0.000], [0.625, 0.452, 0.327], [0.548, 0.875, 0.173], [0.250, 0.750, 0.500]]
}

=====

{
  "formula": "CsYO3",
  "functional": "GGA-PBE",
  "state": "optimized geometry",
  "m_tot_mub_per_cell": 0.0,
  "n_ef_per_ev_cell": 2.09,
  "crystal_system": "cubic",
  "energy_ev_per_atom": -4.5855,
  "lattice": [[-2.265, -2.902, -2.628], [2.631, -3.377, 1.460], [-2.899, -0.798, 3.379]],
  "species": ["O", "Cs", "Y", "O", "O"],
  "frac_coords": [[0.500, 0.000, 0.000], [0.000, 0.000, 0.000], [0.500, 0.500, 0.500], [0.000, 0.500, 0.000], [0.000, 0.000, 0.500]]
}